# 1
{
  "formula": "ZnHgS",
  "functional": "GGA-PBE",
  "state": "relaxed",
  "e_form_raw_ev_per_atom": -0.2786,
  "spacegroup": "C2/m",
  "density_g_cm3": 6.36,
  "magmom_total_mub_per_fu": 0.0,
  "e_above_lowest_polymorph_kj_per_mol_atoms": 8.2,
  "cell": [[12.8112, -1.7424, 0.0000], [12.8112, 1.7424, 0.0000], [-0.2223, 0.0000, 3.4868]],
  "species": ["Zn", "Zn", "Hg", "Hg", "S", "S"],
  "frac_coords": [[0.2104, 0.2104, 0.2321], [0.7896, 0.7896, 0.7679], [0.4394, 0.4394, 0.7365], [0.5606, 0.5606, 0.2635], [0.3063, 0.3063, 0.2771], [0.6937, 0.6937, 0.7229]]
}

---

# 2
{
  "formula": "Zn2HgS",
  "functional": "GGA-PBE",
  "state": "relaxed",
  "e_form_raw_ev_per_atom": 0.2271,
  "spacegroup": "Fm-3m",
  "density_g_cm3": 7.83,
  "magmom_total_mub_per_fu": 0.0,
  "cell": [[0.0000, 3.3785, 3.3785], [3.3785, 0.0000, 3.3785], [3.3785, 3.3785, 0.0000]],
  "species": ["Zn", "Zn", "Hg", "S"],
  "frac_coords": [[0.2500, 0.2500, 0.2500], [0.7500, 0.7500, 0.7500], [0.0000, 0.0000, 0.0000], [0.5000, 0.5000, 0.5000]]
}

---

# 3
{
  "formula": "Zn3HgS",
  "functional": "GGA-PBE",
  "state": "relaxed",
  "e_form_raw_ev_per_atom": 0.3053,
  "spacegroup": "Pm-3m",
  "density_g_cm3": 6.40,
  "magmom_total_mub_per_fu": 0.0,
  "e_above_lowest_polymorph_kj_per_mol_atoms": 0.0,
  "cell": [[4.8108, 0.0000, 0.0000], [0.0000, 4.8108, 0.0000], [0.0000, 0.0000, 4.8108]],
  "species": ["Zn", "Zn", "Zn", "Hg", "S"],
  "frac_coords": [[0.0000, 0.0000, 0.5000], [0.0000, 0.5000, 0.0000], [0.5000, 0.0000, 0.0000], [0.5000, 0.5000, 0.5000], [0.0000, 0.0000, 0.0000]]
}

---

# 4
{
  "formula": "Zn2HgS4",
  "functional": "GGA-PBE",
  "state": "relaxed",
  "e_form_raw_ev_per_atom": 0.2203,
  "spacegroup": "I4/mmm",
  "density_g_cm3": 4.67,
  "magmom_total_mub_per_fu": 0.0,
  "cell": [[-2.4443, 2.4443, 6.8427], [2.4443, -2.4443, 6.8427], [2.4443, 2.4443, -6.8427]],
  "species": ["Zn", "Zn", "Hg", "S", "S", "S", "S"],
  "frac_coords": [[0.0940, 0.0940, 0.0000], [0.9060, 0.9060, 0.0000], [0.5000, 0.5000, 0.0000], [0.0000, 0.5000, 0.5000], [0.2544, 0.2544, 0.0000], [0.5000, 0.0000, 0.5000], [0.7456, 0.7456, 0.0000]]
}

---

# 5
{
  "formula": "Zn3HgS",
  "functional": "GGA-PBE",
  "state": "relaxed",
  "e_form_raw_ev_per_atom": 0.5310,
  "spacegroup": "Pm-3m",
  "density_g_cm3": 5.68,
  "magmom_total_mub_per_fu": 0.0,
  "e_above_lowest_polymorph_kj_per_mol_atoms": 21.8,
  "cell": [[5.0065, 0.0000, 0.0000], [0.0000, 5.0065, 0.0000], [0.0000, 0.0000, 5.0065]],
  "species": ["Zn", "Zn", "Zn", "Hg", "S"],
  "frac_coords": [[0.0000, 0.0000, 0.5000], [0.0000, 0.5000, 0.0000], [0.5000, 0.0000, 0.0000], [0.0000, 0.0000, 0.0000], [0.5000, 0.5000, 0.5000]]
}

---

# 6
{
  "formula": "Zn2Hg2S",
  "functional": "GGA-PBE",
  "state": "relaxed",
  "e_form_raw_ev_per_atom": -0.0452,
  "spacegroup": "P4/mbm",
  "density_g_cm3": 7.92,
  "magmom_total_mub_per_fu": 0.0,
  "cell": [[6.2877, 0.0000, 0.0000], [0.0000, 6.2877, 0.0000], [0.0000, 0.0000, 5.9831]],
  "species": ["Zn", "Zn", "Zn", "Zn", "Hg", "Hg", "Hg", "Hg", "S", "S"],
  "frac_coords": [[0.1363, 0.3637, 0.0000], [0.3637, 0.8637, 0.0000], [0.6363, 0.1363, 0.0000], [0.8637, 0.6363, 0.0000], [0.1912, 0.6912, 0.5000], [0.3088, 0.1912, 0.5000], [0.6912, 0.8088, 0.5000], [0.8088, 0.3088, 0.5000], [0.0000, 0.0000, 0.0000], [0.5000, 0.5000, 0.0000]]
}

---

# 7
{
  "formula": "ZnHgS",
  "functional": "GGA-PBE",
  "state": "relaxed",
  "e_form_raw_ev_per_atom": -0.3631,
  "spacegroup": "P3m1",
  "density_g_cm3": 5.54,
  "magmom_total_mub_per_fu": 0.0,
  "e_above_lowest_polymorph_kj_per_mol_atoms": 0.0,
  "cell": [[3.8699, 0.0000, 0.0000], [-1.9350, 3.3515, 0.0000], [0.0000, 0.0000, 6.8940]],
  "species": ["Zn", "Hg", "S"],
  "frac_coords": [[0.0000, 0.0000, 0.0000], [0.3333, 0.6667, 0.5324], [0.6667, 0.3333, 0.0339]]
}

---

# 8
{
  "formula": "ZrZn2HgS",
  "functional": "GGA-PBE",
  "state": "relaxed",
  "e_form_raw_ev_per_atom": 0.0763,
  "spacegroup": "P4/mmm",
  "density_g_cm3": 7.19,
  "magmom_total_mub_per_fu": 0.0,
  "cell": [[4.6497, 0.0000, 0.0000], [0.0000, 4.6497, 0.0000], [0.0000, 0.0000, 4.8604]],
  "species": ["Zr", "Zn", "Zn", "Hg", "S"],
  "frac_coords": [[0.0000, 0.0000, 0.0000], [0.0000, 0.5000, 0.5000], [0.5000, 0.0000, 0.5000], [0.5000, 0.5000, 0.0000], [0.0000, 0.0000, 0.5000]]
}

---

# 9
{
  "formula": "Zr2HgS2",
  "functional": "GGA-PBE",
  "state": "relaxed",
  "e_form_raw_ev_per_atom": -0.7744,
  "spacegroup": "I4/mmm",
  "density_g_cm3": 6.59,
  "magmom_total_mub_per_fu": 0.0,
  "e_above_lowest_polymorph_kj_per_mol_atoms": 13.2,
  "cell": [[-2.2505, 2.2505, 5.5580], [2.2505, -2.2505, 5.5580], [2.2505, 2.2505, -5.5580]],
  "species": ["Zr", "Zr", "Hg", "S", "S"],
  "frac_coords": [[0.1365, 0.1365, 0.0000], [0.8635, 0.8635, 0.0000], [0.5000, 0.5000, 0.0000], [0.2500, 0.7500, 0.5000], [0.7500, 0.2500, 0.5000]]
}

---

# 10
{
  "formula": "Zr6HgS12",
  "functional": "GGA-PBE",
  "state": "relaxed",
  "e_form_raw_ev_per_atom": -1.2034,
  "spacegroup": "R-3m",
  "density_g_cm3": 4.51,
  "magmom_total_mub_per_fu": 0.0,
  "cell": [[6.1999, 3.5795, 3.1302], [-6.1999, 3.5795, 3.1302], [0.0000, -7.1590, 3.1302]],
  "species": ["Zr", "Zr", "Zr", "Zr", "Zr", "Zr", "Hg", "S", "S", "S", "S", "S", "S", "S", "S", "S", "S", "S", "S"],
  "frac_coords": [[0.2517, 0.2517, 0.6462], [0.2517, 0.6462, 0.2517], [0.3538, 0.7483, 0.7483], [0.6462, 0.2517, 0.2517], [0.7483, 0.3538, 0.7483], [0.7483, 0.7483, 0.3538], [0.0000, 0.0000, 0.0000], [0.1263, 0.5000, 0.8737], [0.1263, 0.8737, 0.5000], [0.1741, 0.4459, 0.4459], [0.4459, 0.1741, 0.4459], [0.4459, 0.4459, 0.1741], [0.5000, 0.1263, 0.8737], [0.5000, 0.8737, 0.1263], [0.5541, 0.5541, 0.8259], [0.5541, 0.8259, 0.5541], [0.8259, 0.5541, 0.5541], [0.8737, 0.1263, 0.5000], [0.8737, 0.5000, 0.1263]]
}

---

# 11
{
  "formula": "Zr2HgS",
  "functional": "GGA-PBE",
  "state": "relaxed",
  "e_form_raw_ev_per_atom": -0.8443,
  "spacegroup": "R-3m",
  "density_g_cm3": 8.26,
  "magmom_total_mub_per_fu": 0.0,
  "e_above_lowest_polymorph_kj_per_mol_atoms": 0.0,
  "cell": [[1.8189, 1.0502, 7.2857], [-1.8189, 1.0502, 7.2857], [0.0000, -2.1003, 7.2857]],
  "species": ["Zr", "Zr", "Hg", "S"],
  "frac_coords": [[0.2306, 0.2306, 0.2306], [0.7694, 0.7694, 0.7694], [0.0000, 0.0000, 0.0000], [0.5000, 0.5000, 0.5000]]
}

---

# 12
{
  "formula": "ZrHg2S2",
  "functional": "GGA-PBE",
  "state": "relaxed",
  "e_form_raw_ev_per_atom": -0.8972,
  "spacegroup": "C2/m",
  "density_g_cm3": 6.30,
  "magmom_total_mub_per_fu": 0.0,
  "cell": [[3.1714, -1.8327, 0.0000], [3.1714, 1.8327, 0.0000], [-1.2566, 0.0000, 12.6139]],
  "species": ["Zr", "Hg", "Hg", "S", "S"],
  "frac_coords": [[0.0000, 0.0000, 0.0000], [0.1900, 0.1900, 0.6102], [0.8100, 0.8100, 0.3898], [0.3101, 0.3101, 0.8832], [0.6899, 0.6899, 0.1168]]
}

---

# 13
{
  "formula": "Zr2HgS",
  "functional": "GGA-PBE",
  "state": "relaxed",
  "e_form_raw_ev_per_atom": -0.8243,
  "spacegroup": "R3m",
  "density_g_cm3": 8.24,
  "magmom_total_mub_per_fu": 0.0,
  "e_above_lowest_polymorph_kj_per_mol_atoms": 1.9,
  "cell": [[1.8060, 1.0427, 7.4022], [-1.8060, 1.0427, 7.4022], [0.0000, -2.0853, 7.4022]],
  "species": ["Zr", "Zr", "Hg", "S"],
  "frac_coords": [[0.0000, 0.0000, 0.0000], [0.2063, 0.2063, 0.2063], [0.4352, 0.4352, 0.4352], [0.6033, 0.6033, 0.6033]]
}

---

# 14
{
  "formula": "Zr2HgS2",
  "functional": "GGA-PBE",
  "state": "relaxed",
  "e_form_raw_ev_per_atom": -0.9114,
  "spacegroup": "P4/mbm",
  "density_g_cm3": 7.76,
  "magmom_total_mub_per_fu": 0.0,
  "e_above_lowest_polymorph_kj_per_mol_atoms": 0.0,
  "cell": [[7.5899, 0.0000, 0.0000], [0.0000, 7.5899, 0.0000], [0.0000, 0.0000, 3.3213]],
  "species": ["Zr", "Zr", "Zr", "Zr", "Hg", "Hg", "S", "S", "S", "S"],
  "frac_coords": [[0.1478, 0.3522, 0.0000], [0.3522, 0.8522, 0.0000], [0.6478, 0.1478, 0.0000], [0.8522, 0.6478, 0.0000], [0.0000, 0.0000, 0.0000], [0.5000, 0.5000, 0.0000], [0.1375, 0.6375, 0.5000], [0.3625, 0.1375, 0.5000], [0.6375, 0.8625, 0.5000], [0.8625, 0.3625, 0.5000]]
}

---

# 15
{
  "formula": "Zr3Hg5S12",
  "functional": "GGA-PBE",
  "state": "relaxed",
  "e_form_raw_ev_per_atom": -0.4311,
  "spacegroup": "Ia-3d",
  "density_g_cm3": 6.07,
  "magmom_total_mub_per_fu": 0.0,
  "cell": [[-7.6879, 7.6879, 7.6879], [7.6879, -7.6879, 7.6879], [7.6879, 7.6879, -7.6879]],
  "species": ["Zr", "Zr", "Zr", "Zr", "Zr", "Zr", "Zr", "Zr", "Zr", "Zr", "Zr", "Zr", "Hg", "Hg", "Hg", "Hg", "Hg", "Hg", "Hg", "Hg", "Hg", "Hg", "Hg", "Hg", "Hg", "Hg", "Hg", "Hg", "Hg", "Hg", "Hg", "Hg", "S", "S", "S", "S", "S", "S", "S", "S", "S", "S", "S", "S", "S", "S", "S", "S", "S", "S", "S", "S", "S", "S", "S", "S", "S", "S", "S", "S", "S", "S", "S", "S", "S", "S", "S", "S", "S", "S", "S", "S", "S", "S", "S", "S", "S", "S", "S", "S"],
  "frac_coords": [[0.1250, 0.2500, 0.3750], [0.1250, 0.3750, 0.7500], [0.2500, 0.3750, 0.1250], [0.2500, 0.8750, 0.6250], [0.3750, 0.1250, 0.2500], [0.3750, 0.7500, 0.1250], [0.6250, 0.2500, 0.8750], [0.6250, 0.8750, 0.7500], [0.7500, 0.1250, 0.3750], [0.7500, 0.6250, 0.8750], [0.8750, 0.6250, 0.2500], [0.8750, 0.7500, 0.6250], [0.0000, 0.0000, 0.0000], [0.0000, 0.0000, 0.5000], [0.0000, 0.5000, 0.0000], [0.0000, 0.5000, 0.5000], [0.1250, 0.7500, 0.8750], [0.1250, 0.8750, 0.2500], [0.2500, 0.1250, 0.8750], [0.2500, 0.6250, 0.3750], [0.3750, 0.2500, 0.6250], [0.3750, 0.6250, 0.7500], [0.5000, 0.0000, 0.0000], [0.5000, 0.0000, 0.5000], [0.5000, 0.5000, 0.0000], [0.5000, 0.5000, 0.5000], [0.6250, 0.3750, 0.2500], [0.6250, 0.7500, 0.3750], [0.7500, 0.3750, 0.6250], [0.7500, 0.8750, 0.1250], [0.8750, 0.1250, 0.7500], [0.8750, 0.2500, 0.1250], [0.0600, 0.2307, 0.1410], [0.0600, 0.3294, 0.9191], [0.0809, 0.6410, 0.4103], [0.0809, 0.9400, 0.6706], [0.0897, 0.7307, 0.6706], [0.0897, 0.8590, 0.4191], [0.1410, 0.0600, 0.2307], [0.1410, 0.5809, 0.9103], [0.1706, 0.2307, 0.5897], [0.1706, 0.4400, 0.5809], [0.2307, 0.1410, 0.0600], [0.2307, 0.5897, 0.1706], [0.2693, 0.3294, 0.9103], [0.2693, 0.4400, 0.3590], [0.3294, 0.9103, 0.2693], [0.3294, 0.9191, 0.0600], [0.3590, 0.2693, 0.4400], [0.3590, 0.5897, 0.9191], [0.4103, 0.0809, 0.6410], [0.4103, 0.8294, 0.7693], [0.4191, 0.0897, 0.8590], [0.4191, 0.8294, 0.5600], [0.4400, 0.3590, 0.2693], [0.4400, 0.5809, 0.1706], [0.5600, 0.4191, 0.8294], [0.5600, 0.6410, 0.7307], [0.5809, 0.1706, 0.4400], [0.5809, 0.9103, 0.1410], [0.5897, 0.1706, 0.2307], [0.5897, 0.9191, 0.3590], [0.6410, 0.4103, 0.0809], [0.6410, 0.7307, 0.5600], [0.6706, 0.0809, 0.9400], [0.6706, 0.0897, 0.7307], [0.7307, 0.5600, 0.6410], [0.7307, 0.6706, 0.0897], [0.7693, 0.4103, 0.8294], [0.7693, 0.8590, 0.9400], [0.8294, 0.5600, 0.4191], [0.8294, 0.7693, 0.4103], [0.8590, 0.4191, 0.0897], [0.8590, 0.9400, 0.7693], [0.9103, 0.1410, 0.5809], [0.9103, 0.2693, 0.3294], [0.9191, 0.0600, 0.3294], [0.9191, 0.3590, 0.5897], [0.9400, 0.6706, 0.0809], [0.9400, 0.7693, 0.8590]]
}

---

# 16
{
  "formula": "ZrHgS3",
  "functional": "GGA-PBE",
  "state": "relaxed",
  "e_form_raw_ev_per_atom": 0.5434,
  "spacegroup": "Pm-3m",
  "density_g_cm3": 5.52,
  "magmom_total_mub_per_fu": 0.9,
  "e_above_lowest_polymorph_kj_per_mol_atoms": 96.0,
  "cell": [[4.8858, 0.0000, 0.0000], [0.0000, 4.8858, 0.0000], [0.0000, 0.0000, 4.8858]],
  "species": ["Zr", "Hg", "S", "S", "S"],
  "frac_coords": [[0.0000, 0.0000, 0.0000], [0.5000, 0.5000, 0.5000], [0.0000, 0.5000, 0.5000], [0.5000, 0.0000, 0.5000], [0.5000, 0.5000, 0.0000]]
}

---

# 17
{
  "formula": "ZrHgS3",
  "functional": "GGA-PBE",
  "state": "relaxed",
  "e_form_raw_ev_per_atom": -0.4521,
  "spacegroup": "Pm-3m",
  "density_g_cm3": 5.11,
  "magmom_total_mub_per_fu": 0.0,
  "e_above_lowest_polymorph_kj_per_mol_atoms": 0.0,
  "cell": [[5.0134, 0.0000, 0.0000], [0.0000, 5.0134, 0.0000], [0.0000, 0.0000, 5.0134]],
  "species": ["Zr", "Hg", "S", "S", "S"],
  "frac_coords": [[0.0000, 0.0000, 0.0000], [0.5000, 0.5000, 0.5000], [0.0000, 0.0000, 0.5000], [0.0000, 0.5000, 0.0000], [0.5000, 0.0000, 0.0000]]
}

---

# 18
{
  "formula": "Zr2HgS",
  "functional": "GGA-PBE",
  "state": "relaxed",
  "e_form_raw_ev_per_atom": -0.3762,
  "spacegroup": "Fm-3m",
  "density_g_cm3": 8.72,
  "magmom_total_mub_per_fu": 0.0,
  "e_above_lowest_polymorph_kj_per_mol_atoms": 45.2,
  "cell": [[0.0000, 3.4058, 3.4058], [3.4058, 0.0000, 3.4058], [3.4058, 3.4058, 0.0000]],
  "species": ["Zr", "Zr", "Hg", "S"],
  "frac_coords": [[0.2500, 0.2500, 0.2500], [0.7500, 0.7500, 0.7500], [0.0000, 0.0000, 0.0000], [0.5000, 0.5000, 0.5000]]
}

---

# 19
{
  "formula": "ZrHg2S4",
  "functional": "GGA-PBE",
  "state": "relaxed",
  "e_form_raw_ev_per_atom": -0.2959,
  "spacegroup": "I4/mmm",
  "density_g_cm3": 6.00,
  "magmom_total_mub_per_fu": 0.0,
  "cell": [[-2.6081, 2.6081, 6.3178], [2.6081, -2.6081, 6.3178], [2.6081, 2.6081, -6.3178]],
  "species": ["Zr", "Hg", "Hg", "S", "S", "S", "S"],
  "frac_coords": [[0.0000, 0.0000, 0.0000], [0.3840, 0.3840, 0.0000], [0.6160, 0.6160, 0.0000], [0.0000, 0.5000, 0.5000], [0.1937, 0.1937, 0.0000], [0.5000, 0.0000, 0.5000], [0.8063, 0.8063, 0.0000]]
}

---

# 20
{
  "formula": "Hg5Sb3",
  "functional": "GGA-PBE",
  "state": "relaxed",
  "e_form_raw_ev_per_atom": 0.0798,
  "spacegroup": "P1",
  "density_g_cm3": 8.85,
  "magmom_total_mub_per_fu": 0.0,
  "cell": [[6.7593, 0.0000, 0.0000], [1.1691, 8.1888, 0.0000], [2.2418, 0.2986, 9.2758]],
  "species": ["Hg", "Hg", "Hg", "Hg", "Hg", "Hg", "Hg", "Hg", "Hg", "Hg", "Sb", "Sb", "Sb", "Sb", "Sb", "Sb"],
  "frac_coords": [[0.0000, 0.0000, 0.0000], [0.0270, 0.3677, 0.6124], [0.1044, 0.8752, 0.4442], [0.1367, 0.5264, 0.2177], [0.3011, 0.3730, 0.8499], [0.4468, 0.7748, 0.0168], [0.5263, 0.1336, 0.4497], [0.6324, 0.6193, 0.7037], [0.6736, 0.4017, 0.0679], [0.7168, 0.7488, 0.3706], [0.0600, 0.1464, 0.2460], [0.3164, 0.5588, 0.4475], [0.4996, 0.0666, 0.7451], [0.5043, 0.1062, 0.1612], [0.9310, 0.0558, 0.7148], [0.9771, 0.6134, 0.9736]]
}

---

# 21
{
  "formula": "HgSb2",
  "functional": "GGA-PBE",
  "state": "relaxed",
  "e_form_raw_ev_per_atom": 0.2252,
  "spacegroup": "Fd-3m",
  "density_g_cm3": 8.32,
  "magmom_total_mub_per_fu": 0.0,
  "e_above_lowest_polymorph_kj_per_mol_atoms": 18.3,
  "cell": [[0.0000, 4.4592, 4.4592], [4.4592, 0.0000, 4.4592], [4.4592, 4.4592, 0.0000]],
  "species": ["Hg", "Hg", "Sb", "Sb", "Sb", "Sb"],
  "frac_coords": [[0.1250, 0.1250, 0.1250], [0.8750, 0.8750, 0.8750], [0.0000, 0.5000, 0.5000], [0.5000, 0.0000, 0.5000], [0.5000, 0.5000, 0.0000], [0.5000, 0.5000, 0.5000]]
}

---

# 22
{
  "formula": "HgSb3",
  "functional": "GGA-PBE",
  "state": "relaxed",
  "e_form_raw_ev_per_atom": 0.2514,
  "spacegroup": "P6_3/mmc",
  "density_g_cm3": 8.50,
  "magmom_total_mub_per_fu": 0.0,
  "e_above_lowest_polymorph_kj_per_mol_atoms": 12.1,
  "cell": [[6.7097, 0.0000, 0.0000], [-3.3549, 5.8108, 0.0000], [0.0000, 0.0000, 11.3410]],
  "species": ["Hg", "Hg", "Hg", "Hg", "Sb", "Sb", "Sb", "Sb", "Sb", "Sb", "Sb", "Sb", "Sb", "Sb", "Sb", "Sb"],
  "frac_coords": [[0.0000, 0.0000, 0.0000], [0.0000, 0.0000, 0.5000], [0.3333, 0.6667, 0.2500], [0.6667, 0.3333, 0.7500], [0.0000, 0.5000, 0.0000], [0.0000, 0.5000, 0.5000], [0.1792, 0.3584, 0.7500], [0.1792, 0.8208, 0.7500], [0.3584, 0.1792, 0.2500], [0.5000, 0.0000, 0.0000], [0.5000, 0.0000, 0.5000], [0.5000, 0.5000, 0.0000], [0.5000, 0.5000, 0.5000], [0.6416, 0.8208, 0.7500], [0.8208, 0.1792, 0.2500], [0.8208, 0.6416, 0.2500]]
}